Record 1
The following is a DFT calculation (PBE) of an optimized crystal structure of POs2W.

Cell lengths 2.8088, 2.8088, 8.4681 Å; angles 90.00, 90.00, 118.28 degrees
Last column: nearest neighbours and their distance in Å.
Fractional coordinates of all 4 atoms:
Os 0.5000 0.5000 0.7237  2 P 2.33
Os 0.0000 0.0000 0.0036  2 W 2.64, 8 Os 2.77-2.88
P 0.0000 0.0000 0.5073  2 Os 2.33, 2 W 2.50
W 0.5000 0.5000 0.2654  2 P 2.50, 2 Os 2.64

Properties
- density of states at the Fermi level (states/eV per atom) = 1.0000
- calculated volume (Å³ per atom) = 14.71
- spin magnetization (μB/atom) = 0.000
- symmetry = Cmm2, No. 35
- energy relative to the elements (meV per atom) = 543

---

Record 2
The following is a DFT calculation (PBE) of an optimized crystal structure of B.

Cell lengths 5.2442, 5.2442, 5.2442 Å; angles 60.00, 60.00, 60.00 degrees
Last column: nearest neighbours and their distance in Å.
Fractional coordinates of all 12 atoms:
B 0.5000 0.5000 0.1620  5 B 1.70-1.77
B 0.5000 0.8380 0.1620  5 B 1.70-1.77
B 0.5000 0.5000 0.8380  5 B 1.70-1.77
B 0.1620 0.8380 0.5000  5 B 1.70-1.77
B 0.8380 0.1620 0.5000  5 B 1.70-1.77
B 0.1620 0.5000 0.5000  5 B 1.70-1.77
B 0.5000 0.8380 0.5000  5 B 1.70-1.77
B 0.5000 0.1620 0.5000  5 B 1.70-1.77
B 0.5000 0.1620 0.8380  5 B 1.70-1.77
B 0.8380 0.5000 0.5000  5 B 1.70-1.77
B 0.8380 0.5000 0.1620  5 B 1.70-1.77
B 0.1620 0.5000 0.8380  5 B 1.70-1.77

Properties
- density of states at the Fermi level (states/eV per atom) = 0.6854
- excess energy over the best structure of this formula in the dataset (eV per atom) = 0.323
- calculated volume (Å³ per atom) = 8.50
- spin magnetization (μB/atom) = 0.000
- symmetry = Fm-3m, No. 225
- energy relative to the elements (meV per atom) = 323

---

Record 3
The following is a DFT calculation (PBE) of an optimized crystal structure of LaY12Tm6.

Cell lengths 9.2860, 9.2860, 9.2860 Å; angles 107.53, 107.53, 107.53 degrees
Last column: nearest neighbours and their distance in Å.
Fractional coordinates of all 19 atoms:
Y 0.5000 0.1116 0.8884  4 Tm 3.26-3.39, 3 Y 3.34-3.63
Y 0.6258 0.8466 0.6258  1 Tm 3.08, 2 Y 3.31
Y 0.8884 0.5000 0.1116  4 Tm 3.26-3.39, 3 Y 3.34-3.63
Y 0.1116 0.5000 0.8884  4 Tm 3.26-3.39, 3 Y 3.34-3.63
Y 0.1116 0.8884 0.5000  4 Tm 3.26-3.39, 3 Y 3.34-3.63
Y 0.8466 0.6258 0.6258  1 Tm 3.08, 2 Y 3.31
Y 0.1534 0.3742 0.3742  1 Tm 3.08, 2 Y 3.31
Y 0.3742 0.1534 0.3742  1 Tm 3.08, 2 Y 3.31
Y 0.3742 0.3742 0.1534  1 Tm 3.08, 2 Y 3.31
Y 0.6258 0.6258 0.8466  1 Tm 3.08, 2 Y 3.31
Y 0.8884 0.1116 0.5000  4 Tm 3.26-3.39, 3 Y 3.34-3.63
Y 0.5000 0.8884 0.1116  4 Tm 3.26-3.39, 3 Y 3.34-3.63
La 0.0000 0.0000 0.0000  6 Y 3.60
Tm 0.3089 0.7328 0.3089  5 Y 3.08-3.39
Tm 0.6911 0.6911 0.2672  5 Y 3.08-3.39
Tm 0.7328 0.3089 0.3089  5 Y 3.08-3.39
Tm 0.3089 0.3089 0.7328  5 Y 3.08-3.39
Tm 0.6911 0.2672 0.6911  5 Y 3.08-3.39
Tm 0.2672 0.6911 0.6911  5 Y 3.08-3.39

Properties
- density of states at the Fermi level (states/eV per atom) = 1.3246
- excess energy over the best structure of this formula in the dataset (eV per atom) = 0.273
- calculated volume (Å³ per atom) = 34.58
- spin magnetization (μB/atom) = 0.000
- symmetry = R-3m, No. 166
- energy relative to the elements (meV per atom) = 425

---

Record 4
The following is a DFT calculation (PBE) of an optimized crystal structure of Ac8Tb3Pr3.

Cell lengths 6.3490, 10.6176, 10.6176 Å; angles 80.54, 64.30, 64.30 degrees
Last column: nearest neighbours and their distance in Å.
Fractional coordinates of all 14 atoms:
Ac 0.3019 0.8913 0.3682  5 Ac 3.46-3.71, 2 Tb 3.70-3.84
Ac 0.7670 0.5185 0.7783  5 Ac 3.57-3.96, 1 Tb 3.81, 1 Pr 3.89
Ac 0.7670 0.7783 0.5185  5 Ac 3.57-3.96, 1 Tb 3.81, 1 Pr 3.89
Ac 0.2330 0.2217 0.4815  5 Ac 3.57-3.96, 1 Tb 3.81, 1 Pr 3.89
Ac 0.6981 0.1087 0.6318  5 Ac 3.46-3.71, 2 Tb 3.70-3.84
Ac 0.3019 0.3682 0.8913  5 Ac 3.46-3.71, 2 Tb 3.70-3.84
Ac 0.6981 0.6318 0.1087  5 Ac 3.46-3.71, 2 Tb 3.70-3.84
Ac 0.2330 0.4815 0.2217  5 Ac 3.57-3.96, 1 Tb 3.81, 1 Pr 3.89
Pr 0.8905 0.2268 0.2268  3 Tb 3.51-3.79, 1 Pr 3.64, 4 Ac 3.89-3.92
Pr 0.5000 0.5000 0.5000  2 Pr 3.64, 8 Ac 3.99-4.06
Pr 0.1095 0.7732 0.7732  3 Tb 3.51-3.79, 1 Pr 3.64, 4 Ac 3.89-3.92
Tb 0.0000 0.1328 0.8672  3 Tb 3.65-3.66, 2 Pr 3.79, 6 Ac 3.81-3.95
Tb 0.5000 0.0000 0.0000  2 Pr 3.51, 4 Tb 3.66, 4 Ac 3.70
Tb 0.0000 0.8672 0.1328  3 Tb 3.65-3.66, 2 Pr 3.79, 6 Ac 3.81-3.95

Properties
- density of states at the Fermi level (states/eV per atom) = 1.4810
- calculated volume (Å³ per atom) = 41.49
- spin magnetization (μB/atom) = 0.000
- symmetry = C2/m, No. 12
- energy relative to the elements (meV per atom) = 211

---

Record 5
The following is a DFT calculation (PBE) of an optimized crystal structure of TaIrW2.

Cell lengths 2.7787, 2.7787, 8.5897 Å; angles 90.00, 90.00, 101.44 degrees
Last column: nearest neighbours and their distance in Å.
Fractional coordinates of all 4 atoms:
W 0.0000 0.0000 0.0051  8 W 2.78-3.09, 2 Ta 2.89
W 0.5000 0.5000 0.2632  4 Ir 2.65-2.92, 6 W 2.78-2.83
Ir 0.0000 0.0000 0.4933  4 W 2.65-2.92, 2 Ta 2.74, 4 Ir 2.78
Ta 0.5000 0.5000 0.7384  4 Ir 2.74-3.01, 4 Ta 2.78, 2 W 2.89

Properties
- density of states at the Fermi level (states/eV per atom) = 0.8987
- excess energy over the best structure of this formula in the dataset (eV per atom) = 0.000
- calculated volume (Å³ per atom) = 16.25
- spin magnetization (μB/atom) = 0.000
- symmetry = Cmm2, No. 35
- energy relative to the elements (meV per atom) = -101

---

Record 6
The following is a DFT calculation (PBE) of an optimized crystal structure of ScZnIn.

Cell lengths 5.3565, 6.1436, 4.5206 Å; angles 89.96, 115.10, 112.64 degrees
Last column: nearest neighbours and their distance in Å.
Fractional coordinates of all 6 atoms:
Sc 0.9853 0.7033 0.1564  5 Zn 2.89-3.12, 5 In 3.09-3.14
Sc 0.5522 0.3236 0.4401  4 Zn 2.93-3.25, 6 In 3.07-3.22
Zn 0.2226 0.0212 0.7758  1 Zn 2.59, 1 In 2.84, 2 Sc 2.89
Zn 0.6319 0.8244 0.4799  1 Zn 2.59, 1 Sc 2.90
In 0.2840 0.5351 0.8057  4 Zn 2.93-3.12, 6 Sc 3.09-3.22, 2 In 3.26-3.27
In 0.8603 0.1576 0.0941  3 Zn 2.84-2.93, 5 Sc 3.07-3.14

Properties
- density of states at the Fermi level (states/eV per atom) = 0.6079
- calculated volume (Å³ per atom) = 20.33
- spin magnetization (μB/atom) = 0.000
- symmetry = P1, No. 1
- energy relative to the elements (meV per atom) = -275

---

Record 7
The following is a DFT calculation (PBE) of an optimized crystal structure of CuIr2.

Cell lengths 4.3469, 4.3469, 2.6588 Å; angles 90.00, 90.00, 120.00 degrees
Last column: nearest neighbours and their distance in Å.
Fractional coordinates of all 3 atoms:
Ir 0.3333 0.6667 0.0000  5 Ir 2.51-2.66
Ir 0.6667 0.3333 0.0000  5 Ir 2.51-2.66
Cu 0.0000 0.0000 0.5000  2 Cu 2.66, 12 Ir 2.84

Properties
- density of states at the Fermi level (states/eV per atom) = 1.4574
- excess energy over the best structure of this formula in the dataset (eV per atom) = 0.242
- calculated volume (Å³ per atom) = 14.50
- spin magnetization (μB/atom) = 0.000
- symmetry = P6/mmm, No. 191
- energy relative to the elements (meV per atom) = 302

---

Record 8
The following is a DFT calculation (PBE) of an optimized crystal structure of CaPmCuGe.

Cell lengths 5.0903, 5.0903, 5.0903 Å; angles 60.00, 60.00, 60.00 degrees
Last column: nearest neighbours and their distance in Å.
Fractional coordinates of all 4 atoms:
Pm 0.2500 0.2500 0.2500  4 Ge 3.12, 4 Cu 3.12
Cu 0.0000 0.0000 0.0000  4 Pm 3.12, 4 Ca 3.12
Ge 0.5000 0.5000 0.5000  4 Ca 3.12, 4 Pm 3.12
Ca 0.7500 0.7500 0.7500  4 Ge 3.12, 4 Cu 3.12

Properties
- density of states at the Fermi level (states/eV per atom) = 0.3719
- calculated volume (Å³ per atom) = 23.32
- spin magnetization (μB/atom) = 0.000
- symmetry = F-43m, No. 216
- energy relative to the elements (meV per atom) = -451

---

Record 9
The following is a DFT calculation (PBE) of an optimized crystal structure of HoPuInRu.

Cell lengths 3.3169, 3.3169, 8.3548 Å; angles 90.00, 90.00, 90.00 degrees
Last column: nearest neighbours and their distance in Å.
Fractional coordinates of all 4 atoms:
Pu 0.5000 0.5000 0.3652  4 Ru 2.91
In 0.0000 0.0000 0.0700  4 In 3.32, 4 Ho 3.38, 4 Pu 3.40
Ho 0.5000 0.5000 0.7784  4 Ru 2.92
Ru 0.0000 0.0000 0.5711  4 Pu 2.91, 4 Ho 2.92

Properties
- density of states at the Fermi level (states/eV per atom) = 1.7427
- excess energy over the best structure of this formula in the dataset (eV per atom) = 0.000
- calculated volume (Å³ per atom) = 22.98
- spin magnetization (μB/atom) = 1.157
- symmetry = P4mm, No. 99
- energy relative to the elements (meV per atom) = -311

---

Record 10
The following is a DFT calculation (PBE) of an optimized crystal structure of BeTc2Te.

Cell lengths 5.0911, 5.0911, 5.0911 Å; angles 142.92, 130.69, 63.27 degrees
Last column: nearest neighbours and their distance in Å.
Fractional coordinates of all 4 atoms:
Be 0.7681 0.2681 0.5000  6 Tc 2.44-2.68
Tc 0.2482 0.7482 0.5000  4 Be 2.68, 4 Te 2.75-2.99, 4 Tc 2.84-2.92
Tc 0.9789 0.9789 0.0000  2 Be 2.44, 4 Te 2.68
Te 0.5048 0.5048 0.0000  8 Tc 2.68-2.99, 4 Be 2.80-2.95

Properties
- density of states at the Fermi level (states/eV per atom) = 0.7847
- excess energy over the best structure of this formula in the dataset (eV per atom) = 0.253
- calculated volume (Å³ per atom) = 14.90
- spin magnetization (μB/atom) = 0.000
- symmetry = Imm2, No. 44
- energy relative to the elements, uncorrected (eV per atom) = 0.39

---

Record 11
The following is a DFT calculation (PBE) of an optimized crystal structure of PrGd2Sc.

Cell lengths 5.6131, 5.6131, 5.6131 Å; angles 60.00, 60.00, 60.00 degrees
Last column: nearest neighbours and their distance in Å.
Fractional coordinates of all 4 atoms:
Pr 0.0000 0.0000 0.0000  8 Gd 3.44
Sc 0.5000 0.5000 0.5000  8 Gd 3.44
Gd 0.2500 0.2500 0.2500  4 Pr 3.44, 4 Sc 3.44
Gd 0.7500 0.7500 0.7500  4 Sc 3.44, 4 Pr 3.44

Properties
- density of states at the Fermi level (states/eV per atom) = 1.6348
- excess energy over the best structure of this formula in the dataset (eV per atom) = 0.071
- calculated volume (Å³ per atom) = 31.26
- spin magnetization (μB/atom) = 4.085
- symmetry = Fm-3m, No. 225
- energy relative to the elements (meV per atom) = 113

---

Record 12
The following is a DFT calculation (PBE) of an optimized crystal structure of Dy2BeBPt6.

Cell lengths 5.6697, 5.6697, 6.4943 Å; angles 115.88, 115.88, 90.00 degrees
Last column: nearest neighbours and their distance in Å.
Fractional coordinates of all 10 atoms:
Pt 0.2179 0.2184 0.9423  1 B 2.23, 1 Be 2.27
Pt 0.2755 0.2760 0.5509  1 B 2.08
Pt 0.7244 0.2184 0.9423  1 B 2.23, 1 Be 2.27
Pt 0.7794 0.7799 0.5588  1 Be 2.14
Pt 0.7244 0.7249 0.9423  1 B 2.23, 1 Be 2.27
Pt 0.2179 0.7249 0.9423  1 B 2.23, 1 Be 2.27
Dy 0.7088 0.2093 0.4176  8 Pt 2.92-3.15, 2 B 3.16, 2 Be 3.17
Dy 0.2088 0.7093 0.4176  8 Pt 2.92-3.15, 2 B 3.16, 2 Be 3.17
B 0.0718 0.0723 0.1435  5 Pt 2.08-2.23
Be 0.5702 0.5707 0.1405  5 Pt 2.14-2.27

Properties
- density of states at the Fermi level (states/eV per atom) = 0.3537
- calculated volume (Å³ per atom) = 16.42
- spin magnetization (μB/atom) = 0.000
- symmetry = I4mm, No. 107
- energy relative to the elements (meV per atom) = -946